Entry 1:
Entry from the Alexandria database: a relaxed LiMg2Al crystal (GGA-PBE).

```
LiMg2Al
1.0
0.000 3.386 3.386
3.386 0.000 3.386
3.386 3.386 0.000
Li Mg Al
1 2 1
direct
0.000 0.000 0.000 Li
0.250 0.250 0.250 Mg
0.500 0.500 0.500 Mg
0.750 0.750 0.750 Al
```

Values from the calculation:
SG: No. 216
total moment: 0.000 μB per atom
energy of formation from the pure elements: -0.033 eV per atom

Entry 2:
Entry from the Alexandria database: a relaxed Li2La2Ga crystal (GGA-PBE).

```
Li2La2Ga
1.0
6.909 0.000 0.000
0.000 6.909 0.000
0.000 0.000 5.089
Li La Ga
4 4 2
direct
0.136 0.364 0.000 Li
0.364 0.864 0.000 Li
0.636 0.136 0.000 Li
0.864 0.636 0.000 Li
0.182 0.682 0.500 La
0.318 0.182 0.500 La
0.682 0.818 0.500 La
0.818 0.318 0.500 La
0.000 0.000 0.000 Ga
0.500 0.500 0.000 Ga
```

Values from the calculation:
energy above the lowest structure with this stoichiometry: 0.049 eV/atom
SG: No. 127
total moment: 0.000 μB per atom
energy of formation from the pure elements: -0.143 eV per atom

Entry 3:
Entry from the Alexandria database: a relaxed CdAsCl2 crystal (GGA-PBE).

```
CdAsCl2
1.0
3.189 0.000 0.000
0.000 3.189 0.000
0.000 0.000 11.424
Cd As Cl
1 1 2
direct
0.000 0.000 0.000 Cd
0.000 0.000 0.500 As
0.500 0.500 0.143 Cl
0.500 0.500 0.857 Cl
```

Values from the calculation:
energy above the lowest structure with this stoichiometry: 0.294 eV/atom
SG: No. 123
formation energy from raw total energies: -0.1083 eV per atom
total moment: 0.092 μB per atom

Entry 4:
Entry from the Alexandria database: a relaxed CaY3Ir crystal (GGA-PBE).

```
CaY3Ir
1.0
9.546 -1.814 0.000
9.546 1.814 0.000
-1.985 0.000 8.433
Ca Y Ir
2 6 2
direct
0.196 0.196 0.301 Ca
0.804 0.804 0.699 Ca
0.009 0.009 0.191 Y
0.173 0.173 0.904 Y
0.408 0.408 0.435 Y
0.592 0.592 0.565 Y
0.827 0.827 0.096 Y
0.991 0.991 0.809 Y
0.408 0.408 0.963 Ir
0.592 0.592 0.037 Ir
```

Values from the calculation:
energy above the lowest structure with this stoichiometry: 0.124 eV/atom
SG: No. 12
total moment: 0.110 μB per atom
energy of formation from the pure elements: -0.280 eV per atom

Entry 5:
Entry from the Alexandria database: a relaxed Cd3IrBr crystal (GGA-PBE).

```
Cd3IrBr
1.0
5.231 0.000 0.000
0.000 5.231 0.000
0.000 0.000 5.231
Cd Ir Br
3 1 1
direct
0.000 0.000 0.500 Cd
0.000 0.500 0.000 Cd
0.500 0.000 0.000 Cd
0.500 0.500 0.500 Ir
0.000 0.000 0.000 Br
```

Values from the calculation:
energy above the lowest structure with this stoichiometry: 1.137 eV/atom
SG: No. 221
formation energy from raw total energies: 1.3443 eV per atom
total moment: 0.000 μB per atom

Entry 6:
Entry from the Alexandria database: a relaxed SnHSe crystal (GGA-PBE).

```
SnHSe
1.0
6.718 -2.031 0.000
6.718 2.031 0.000
-1.947 0.000 5.594
Sn H Se
2 2 2
direct
0.000 0.000 0.000 Sn
0.246 0.246 0.751 Sn
0.101 0.101 0.286 H
0.305 0.305 0.529 H
0.396 0.396 0.164 Se
0.623 0.623 0.743 Se
```

Values from the calculation:
SG: No. 8
total moment: 0.000 μB per atom
total energy: -21.9 eV per cell

Entry 7:
Entry from the Alexandria database: a relaxed Ba3ErSn2O9 crystal (GGA-PBE).

```
Ba3ErSn2O9
1.0
6.027 0.000 0.000
-3.013 5.219 0.000
0.000 0.000 7.394
Ba Er Sn O
3 1 2 9
direct
0.000 0.000 0.000 Ba
0.333 0.667 0.668 Ba
0.667 0.333 0.332 Ba
0.000 0.000 0.500 Er
0.333 0.667 0.165 Sn
0.667 0.333 0.835 Sn
0.000 0.500 0.000 O
0.171 0.343 0.324 O
0.171 0.829 0.324 O
0.343 0.171 0.676 O
0.500 0.000 0.000 O
0.500 0.500 0.000 O
0.657 0.829 0.324 O
0.829 0.171 0.676 O
0.829 0.657 0.676 O
```

Values from the calculation:
SG: No. 164
formation energy from raw total energies: -2.4053 eV per atom
total moment: 0.022 μB per atom

Entry 8:
Entry from the Alexandria database: a relaxed CdSe2BrN crystal (GGA-PBE).

```
CdSe2BrN
1.0
5.547 0.000 0.000
0.000 5.547 0.000
0.000 0.000 4.294
Cd Se Br N
1 2 1 1
direct
0.000 0.000 0.000 Cd
0.000 0.500 0.000 Se
0.500 0.000 0.000 Se
0.500 0.500 0.500 Br
0.000 0.000 0.500 N
```

Values from the calculation:
energy above the lowest structure with this stoichiometry: 0.409 eV/atom
SG: No. 123
formation energy from raw total energies: 1.2040 eV per atom
total moment: 0.989 μB per atom

> Which value of total moment does entry 1 give?

0.000 μB per atom

> Which formula does entry 6 have?

SnHSe